Computed, not measured: Sr2P2Pt after structural relaxation at the GGA-PBE level of DFT.

Cell: 4.091 6.095 10.695 Å, 74.92 78.97 70.39°
Atoms (fractional coordinates):
1 Sr 0.089 0.725 0.097
2 Sr 0.700 0.242 0.357
3 P 0.038 0.339 0.585
4 Sr 0.911 0.275 0.903
5 Pt 0.570 0.183 0.678
6 P 0.654 0.838 0.853
7 P 0.346 0.162 0.147
8 Pt 0.430 0.817 0.322
9 P 0.962 0.661 0.415
10 Sr 0.300 0.758 0.643

Computed properties:
**Energy relative to the elements**: -5.252 eV/f.u.
**Spin magnetization**: 0.0 μB/f.u.
**Volume**: 24.10 Å³/atom
**Raw total energy**: -51.0 eV for the cell shown
**Symmetry**: C2/m